P:
Cd2GaGe: optimized geometry, GGA-PBE. Values from VASP.

## Properties
**Crystal system**: trigonal
**Space group**: R-3m (166)

Structure (Quantum ESPRESSO input):
```
&SYSTEM
  ibrav = 0, nat = 4, ntyp = 3
/
ATOMIC_SPECIES
Cd 112.41 Cd.upf
Ga 69.72 Ga.upf
Ge 72.64 Ge.upf
ATOMIC_POSITIONS angstrom
Cd 0.000 0.000 3.026
Cd 0.000 0.000 31.869
Ga 0.000 0.000 0.000
Ge 0.000 0.000 17.447
CELL_PARAMETERS angstrom
1.475 0.852 11.632
-1.475 0.852 11.632
0.000 -1.703 11.632
```

Q:
Cd2GaGe: optimized geometry, GGA-PBE. Values from VASP.

## Properties
**Crystal system**: tetragonal
**Space group**: P4/mmm (123)

Structure (Quantum ESPRESSO input):
```
&SYSTEM
  ibrav = 0, nat = 4, ntyp = 3
/
ATOMIC_SPECIES
Cd 112.41 Cd.upf
Ga 69.72 Ga.upf
Ge 72.64 Ge.upf
ATOMIC_POSITIONS angstrom
Cd 0.000 2.190 0.000
Cd 2.190 0.000 0.000
Ga 0.000 0.000 2.205
Ge 2.190 2.190 2.205
CELL_PARAMETERS angstrom
4.380 0.000 0.000
0.000 4.380 0.000
0.000 0.000 4.409
```

Stability check: which of them is least stable? P.

P:
Cd2GaGe: optimized geometry, GGA-PBE. Values from VASP.

## Properties
**Crystal system**: cubic
**Space group**: Fm-3m (225)

Structure (Quantum ESPRESSO input):
```
&SYSTEM
  ibrav = 0, nat = 4, ntyp = 3
/
ATOMIC_SPECIES
Cd 112.41 Cd.upf
Ga 69.72 Ga.upf
Ge 72.64 Ge.upf
ATOMIC_POSITIONS angstrom
Cd 1.754 1.754 1.754
Cd 5.263 5.263 5.263
Ga 0.000 0.000 0.000
Ge 3.509 3.509 3.509
CELL_PARAMETERS angstrom
0.000 3.509 3.509
3.509 0.000 3.509
3.509 3.509 0.000
```

Q:
Cd2GaGe: optimized geometry, GGA-PBE. Values from VASP.

## Properties
**Crystal system**: tetragonal
**Space group**: I-42d (122)

Structure (Quantum ESPRESSO input):
```
&SYSTEM
  ibrav = 0, nat = 8, ntyp = 3
/
ATOMIC_SPECIES
Cd 112.41 Cd.upf
Ga 69.72 Ga.upf
Ge 72.64 Ge.upf
ATOMIC_POSITIONS angstrom
Cd 3.074 1.023 -2.620
Cd 1.023 1.025 2.620
Cd -1.025 1.026 7.859
Cd 1.026 1.025 13.099
Ga 0.000 0.000 0.000
Ga 0.000 2.049 5.240
Ge 2.049 0.000 5.240
Ge 0.000 0.000 10.479
CELL_PARAMETERS angstrom
-2.049 2.049 10.479
2.049 -2.049 10.479
2.049 2.049 -10.479
```

Stability check: which of them is least stable? Q.

P:
CdGa2H: optimized geometry, GGA-PBE. Values from VASP.

## Properties
**Crystal system**: cubic
**Space group**: Fm-3m (225)

Structure (Quantum ESPRESSO input):
```
&SYSTEM
  ibrav = 0, nat = 4, ntyp = 3
/
ATOMIC_SPECIES
Cd 112.41 Cd.upf
Ga 69.72 Ga.upf
H 1.01 H.upf
ATOMIC_POSITIONS angstrom
Cd 0.000 0.000 0.000
Ga 1.630 1.630 1.630
Ga 4.891 4.891 4.891
H 3.261 3.261 3.261
CELL_PARAMETERS angstrom
0.000 3.261 3.261
3.261 0.000 3.261
3.261 3.261 0.000
```

Q:
CdGa2H: optimized geometry, GGA-PBE. Values from VASP.

## Properties
**Crystal system**: tetragonal
**Space group**: I-42d (122)

Structure (Quantum ESPRESSO input):
```
&SYSTEM
  ibrav = 0, nat = 8, ntyp = 3
/
ATOMIC_SPECIES
Cd 112.41 Cd.upf
Ga 69.72 Ga.upf
H 1.01 H.upf
ATOMIC_POSITIONS angstrom
Cd 0.000 0.000 0.000
Cd 0.000 2.457 3.030
Ga 1.228 -0.478 4.544
Ga 1.979 1.228 1.515
Ga 1.228 2.935 -1.515
Ga 0.478 1.228 7.574
H 2.457 0.000 3.030
H 0.000 0.000 6.059
CELL_PARAMETERS angstrom
-2.457 2.457 6.059
2.457 -2.457 6.059
2.457 2.457 -6.059
```

Stability check: which of them is least stable? P.

P:
CdGa3H: optimized geometry, GGA-PBE. Values from VASP.

## Properties
**Crystal system**: cubic
**Space group**: Pm-3m (221)

Structure (Quantum ESPRESSO input):
```
&SYSTEM
  ibrav = 0, nat = 5, ntyp = 3
/
ATOMIC_SPECIES
Cd 112.41 Cd.upf
Ga 69.72 Ga.upf
H 1.01 H.upf
ATOMIC_POSITIONS angstrom
Cd 0.000 0.000 0.000
Ga 0.000 0.000 2.611
Ga 0.000 2.611 0.000
Ga 2.611 0.000 0.000
H 2.611 2.611 2.611
CELL_PARAMETERS angstrom
5.221 0.000 0.000
0.000 5.221 0.000
0.000 0.000 5.221
```

Q:
CdGa3H: optimized geometry, GGA-PBE. Values from VASP.

## Properties
**Crystal system**: cubic
**Space group**: Pm-3m (221)

Structure (Quantum ESPRESSO input):
```
&SYSTEM
  ibrav = 0, nat = 5, ntyp = 3
/
ATOMIC_SPECIES
Cd 112.41 Cd.upf
Ga 69.72 Ga.upf
H 1.01 H.upf
ATOMIC_POSITIONS angstrom
Cd 0.000 0.000 0.000
Ga 0.000 2.189 2.189
Ga 2.189 0.000 2.189
Ga 2.189 2.189 0.000
H 2.189 2.189 2.189
CELL_PARAMETERS angstrom
4.379 0.000 0.000
0.000 4.379 0.000
0.000 0.000 4.379
```

Stability check: which of them is least stable? P.

P:
CdGaH: optimized geometry, GGA-PBE. Values from VASP.

## Properties
**Crystal system**: tetragonal
**Space group**: I4mm (107)

Structure (Quantum ESPRESSO input):
```
&SYSTEM
  ibrav = 0, nat = 3, ntyp = 3
/
ATOMIC_SPECIES
Cd 112.41 Cd.upf
Ga 69.72 Ga.upf
H 1.01 H.upf
ATOMIC_POSITIONS angstrom
Cd 0.000 0.000 0.000
Ga 0.000 0.000 8.051
H 0.000 0.000 2.490
CELL_PARAMETERS angstrom
-1.500 1.500 5.443
1.500 -1.500 5.443
1.500 1.500 -5.443
```

Q:
CdGaH: optimized geometry, GGA-PBE. Values from VASP.

## Properties
**Crystal system**: triclinic
**Space group**: P1 (1)

Structure (Quantum ESPRESSO input):
```
&SYSTEM
  ibrav = 0, nat = 6, ntyp = 3
/
ATOMIC_SPECIES
Cd 112.41 Cd.upf
Ga 69.72 Ga.upf
H 1.01 H.upf
ATOMIC_POSITIONS angstrom
Cd 0.000 0.000 0.000
Cd -0.220 1.538 2.466
Ga -0.074 0.044 6.768
Ga 1.306 1.547 4.851
H -0.180 1.511 9.580
H 1.453 0.034 7.737
CELL_PARAMETERS angstrom
3.050 0.000 0.000
-0.493 3.067 0.000
-1.212 -1.554 10.708
```

Stability check: which of them is least stable? P.

P:
CdGaH: optimized geometry, GGA-PBE. Values from VASP.

## Properties
**Crystal system**: triclinic
**Space group**: P-1 (2)

Structure (Quantum ESPRESSO input):
```
&SYSTEM
  ibrav = 0, nat = 6, ntyp = 3
/
ATOMIC_SPECIES
Cd 112.41 Cd.upf
Ga 69.72 Ga.upf
H 1.01 H.upf
ATOMIC_POSITIONS angstrom
Cd 0.695 1.119 0.951
Cd 3.460 5.557 6.889
Ga 2.065 3.328 5.347
Ga 2.089 3.349 2.493
H 0.672 1.486 3.909
H 3.482 5.190 3.931
CELL_PARAMETERS angstrom
2.809 0.000 0.000
0.009 4.474 0.000
1.336 2.203 7.840
```

Q:
CdGaH: optimized geometry, GGA-PBE. Values from VASP.

## Properties
**Crystal system**: trigonal
**Space group**: P3m1 (156)

Structure (Quantum ESPRESSO input):
```
&SYSTEM
  ibrav = 0, nat = 3, ntyp = 3
/
ATOMIC_SPECIES
Cd 112.41 Cd.upf
Ga 69.72 Ga.upf
H 1.01 H.upf
ATOMIC_POSITIONS angstrom
Cd 0.000 0.000 0.000
Ga 1.497 0.864 2.720
H 0.000 1.728 3.653
CELL_PARAMETERS angstrom
2.993 0.000 0.000
-1.497 2.592 0.000
0.000 0.000 6.730
```

Stability check: which of them is least stable? Q.